A relaxed PrMg10Au2 crystal, computed with PBE.

As for the space group: Fmmm.

Cell lengths 10.084, 7.689, 7.680 Å; angles 82.01, 49.03, 48.96 degrees
Element x y z (fractional)
Pr  0.000  0.000  0.000
Mg  0.000  0.500  0.000
Mg  0.015  0.654  0.346
Mg  0.286  0.509  0.491
Mg  0.346  0.985  0.015
Mg  0.491  0.714  0.286
Mg  0.500  0.000  0.500
Mg  0.509  0.286  0.714
Mg  0.654  0.015  0.985
Mg  0.714  0.491  0.509
Mg  0.985  0.346  0.654
Au  0.000  0.000  0.500
Au  0.500  0.500  0.000

***

A relaxed Pr3Mg2Au3 crystal, computed with PBE.

As for the space group: P6_3/mcm. For the relative energy among the computed polymorphs, the calculation gives 0 meV per atom.

Cell lengths 8.880, 8.880, 5.993 Å; angles 90.00, 90.00, 120.00 degrees
Element x y z (fractional)
Pr  0.000  0.269  0.250
Pr  0.000  0.731  0.750
Pr  0.269  0.000  0.250
Pr  0.269  0.269  0.750
Pr  0.731  0.000  0.750
Pr  0.731  0.731  0.250
Mg  0.333  0.667  0.000
Mg  0.333  0.667  0.500
Mg  0.667  0.333  0.000
Mg  0.667  0.333  0.500
Au  0.000  0.393  0.750
Au  0.000  0.607  0.250
Au  0.393  0.000  0.750
Au  0.393  0.393  0.250
Au  0.607  0.000  0.250
Au  0.607  0.607  0.750

***

A relaxed Pr2MgAu crystal, computed with PBE.

As for the space group: R-3m. For the relative energy among the computed polymorphs, the calculation gives 204 meV per atom.

Cell lengths 9.818, 9.818, 9.818 Å; angles 22.77, 22.77, 22.77 degrees
Element x y z (fractional)
Pr  0.240  0.240  0.240
Pr  0.760  0.760  0.760
Mg  0.000  0.000  0.000
Au  0.500  0.500  0.500

***

A relaxed Pr2Mg5Au4 crystal, computed with PBE.

As for the space group: Fmmm.

Cell lengths 9.520, 7.857, 6.829 Å; angles 80.49, 54.48, 45.03 degrees
Element x y z (fractional)
Pr  0.158  0.158  0.842
Pr  0.842  0.842  0.158
Mg  0.000  0.000  0.500
Mg  0.250  0.250  0.250
Mg  0.500  0.500  0.000
Mg  0.500  0.500  0.500
Mg  0.750  0.750  0.750
Au  0.232  0.482  0.518
Au  0.482  0.232  0.768
Au  0.518  0.768  0.232
Au  0.768  0.518  0.482

***

A relaxed Pr2Mg3Au2 crystal, computed with PBE.

As for the space group: C2/m.

Cell lengths 5.740, 5.740, 7.670 Å; angles 110.45, 110.45, 47.48 degrees
Element x y z (fractional)
Pr  0.139  0.139  0.284
Pr  0.861  0.861  0.716
Mg  0.370  0.370  0.064
Mg  0.500  0.500  0.500
Mg  0.630  0.630  0.936
Au  0.155  0.155  0.712
Au  0.845  0.845  0.288

***

A relaxed PrMg9Au3 crystal, computed with PBE.

As for the space group: C2/m.

Cell lengths 7.566, 7.566, 7.548 Å; angles 97.80, 97.80, 136.39 degrees
Element x y z (fractional)
Pr  0.000  0.000  0.000
Mg  0.000  0.000  0.500
Mg  0.004  0.649  0.662
Mg  0.294  0.512  0.790
Mg  0.351  0.996  0.338
Mg  0.488  0.706  0.210
Mg  0.512  0.294  0.790
Mg  0.649  0.004  0.662
Mg  0.706  0.488  0.210
Mg  0.996  0.351  0.338
Au  0.000  0.500  0.000
Au  0.500  0.000  0.000
Au  0.500  0.500  0.500

***

A relaxed PrMg2Au7 crystal, computed with PBE.

As for the space group: Cmmm.

Cell lengths 8.838, 8.838, 4.118 Å; angles 90.00, 90.00, 134.59 degrees
Element x y z (fractional)
Pr  0.000  0.000  0.000
Mg  0.262  0.738  0.500
Mg  0.738  0.262  0.500
Au  0.084  0.321  0.500
Au  0.321  0.084  0.500
Au  0.376  0.624  0.000
Au  0.500  0.500  0.500
Au  0.624  0.376  0.000
Au  0.679  0.916  0.500
Au  0.916  0.679  0.500

***

A relaxed Pr2MgAu crystal, computed with PBE.

As for the space group: Fm-3m. For the relative energy among the computed polymorphs, the calculation gives 74 meV per atom.

Cell lengths 5.401, 5.401, 5.401 Å; angles 60.00, 60.00, 60.00 degrees
Element x y z (fractional)
Pr  0.250  0.250  0.250
Pr  0.750  0.750  0.750
Mg  0.000  0.000  0.000
Au  0.500  0.500  0.500

***

A relaxed Pr3Mg7Au4 crystal, computed with PBE.

As for the space group: C2/m.

Cell lengths 8.694, 8.694, 10.484 Å; angles 122.78, 122.78, 30.11 degrees
Element x y z (fractional)
Pr  0.000  0.000  0.000
Pr  0.307  0.307  0.296
Pr  0.693  0.693  0.704
Mg  0.000  0.000  0.500
Mg  0.164  0.164  0.429
Mg  0.320  0.320  0.983
Mg  0.489  0.489  0.702
Mg  0.511  0.511  0.298
Mg  0.680  0.680  0.017
Mg  0.836  0.836  0.571
Au  0.115  0.115  0.830
Au  0.339  0.339  0.734
Au  0.661  0.661  0.266
Au  0.885  0.885  0.170

***

A relaxed PrMg2Au crystal, computed with PBE.

As for the space group: Fm-3m.

Cell lengths 5.014, 5.014, 5.014 Å; angles 60.00, 60.00, 60.00 degrees
Element x y z (fractional)
Pr  0.000  0.000  0.000
Mg  0.250  0.250  0.250
Mg  0.750  0.750  0.750
Au  0.500  0.500  0.500

***

A relaxed PrMg2Au crystal, computed with PBE.

As for the space group: Pnma.

Cell lengths 16.656, 8.167, 5.754 Å; angles 90.00, 90.00, 90.00 degrees
Element x y z (fractional)
Pr  0.105  0.250  0.247
Pr  0.138  0.750  0.052
Pr  0.362  0.250  0.552
Pr  0.395  0.750  0.747
Pr  0.605  0.250  0.253
Pr  0.638  0.750  0.448
Pr  0.862  0.250  0.948
Pr  0.895  0.750  0.753
Mg  0.038  0.055  0.747
Mg  0.038  0.445  0.747
Mg  0.214  0.555  0.546
Mg  0.214  0.945  0.546
Mg  0.286  0.055  0.046
Mg  0.286  0.445  0.046
Mg  0.462  0.555  0.247
Mg  0.462  0.945  0.247
Mg  0.538  0.055  0.753
Mg  0.538  0.445  0.753
Mg  0.714  0.555  0.954
Mg  0.714  0.945  0.954
Mg  0.786  0.055  0.454
Mg  0.786  0.445  0.454
Mg  0.962  0.555  0.253
Mg  0.962  0.945  0.253
Au  0.069  0.750  0.543
Au  0.183  0.250  0.751
Au  0.317  0.750  0.251
Au  0.431  0.250  0.043
Au  0.569  0.750  0.957
Au  0.683  0.250  0.749
Au  0.817  0.750  0.249
Au  0.931  0.250  0.457

***

Computed values of E_form (unit: eV/atom) for the preceding records, in sequence: -0.244 -0.641 -0.223 -0.483 -0.549 -0.365 -0.366 -0.353 -0.520 -0.319 -0.494.